Hf2ZrHgB (PBE, optimized geometry); formation enthalpy at 0 K = -294 meV/atom; calculated volume = 98 Å³ per cell; total magnetization = 0.000 μB/f.u.
1.0
4.594 0.000 0.000
0.000 4.594 0.000
0.000 0.000 4.638
B Hf Hg Zr
1 2 1 1
Cartesian
0.000 0.000 0.000 B
0.000 2.297 0.000 Hf
2.297 0.000 0.000 Hf
2.297 2.297 2.319 Hg
0.000 0.000 2.319 Zr